(1)
SmY12Er6 | Alexandria via LeMat-Bulk | GGA-PBE | relaxed; spin magnetization = 0.000 μB/atom; D(E_F) = 28.5 states/eV/f.u.; energy relative to the lowest polymorph listed for this composition = 0.000 eV per atom; V = 31.7 A^3/atom; SG = R-3, No. 148
1.0
7.743 4.470 2.903
-7.743 4.470 2.903
0.000 -8.940 2.903
Sm Y Er
1 12 6
Direct
0.000 0.000 0.000
0.106 0.159 0.737
0.159 0.737 0.106
0.210 0.317 0.475
0.263 0.894 0.841
0.317 0.475 0.210
0.475 0.210 0.317
0.525 0.790 0.683
0.683 0.525 0.790
0.737 0.106 0.159
0.790 0.683 0.525
0.841 0.263 0.894
0.894 0.841 0.263
0.052 0.579 0.368
0.368 0.052 0.579
0.421 0.632 0.948
0.579 0.368 0.052
0.632 0.948 0.421
0.948 0.421 0.632

=====

(2)
Sm6Y16Er7 | Alexandria via LeMat-Bulk | GGA-PBE | relaxed; spin magnetization = 0.274 μB/atom; D(E_F) = 51.0 states/eV/f.u.; V = 34.1 A^3/atom; SG = Fm-3m, No. 225; calculated total energy = -156.7 eV/f.u.
1.0
0.000 7.905 7.905
7.905 0.000 7.905
7.905 7.905 0.000
Sm Y Er
6 16 7
Direct
0.217 0.217 0.783
0.217 0.783 0.217
0.217 0.783 0.783
0.783 0.217 0.217
0.783 0.217 0.783
0.783 0.783 0.217
0.135 0.622 0.622
0.154 0.154 0.154
0.154 0.154 0.538
0.154 0.538 0.154
0.378 0.378 0.378
0.378 0.378 0.865
0.378 0.865 0.378
0.462 0.846 0.846
0.538 0.154 0.154
0.622 0.135 0.622
0.622 0.622 0.135
0.622 0.622 0.622
0.846 0.462 0.846
0.846 0.846 0.462
0.846 0.846 0.846
0.865 0.378 0.378
0.000 0.000 0.500
0.000 0.500 0.000
0.000 0.500 0.500
0.500 0.000 0.000
0.500 0.000 0.500
0.500 0.500 0.000
0.500 0.500 0.500

=====

(3)
Sm3Y4Er4 | Alexandria via LeMat-Bulk | GGA-PBE | relaxed; spin magnetization = 0.000 μB/atom; D(E_F) = 16.8 states/eV/f.u.; energy relative to the lowest polymorph listed for this composition = 0.210 eV per atom; V = 35.1 A^3/atom; SG = Immm, No. 71
1.0
-2.638 5.050 7.239
2.638 -5.050 7.239
2.638 5.050 -7.239
Sm Y Er
3 4 4
Direct
0.000 0.000 0.000
0.384 0.884 0.500
0.616 0.116 0.500
0.008 0.675 0.333
0.343 0.675 0.667
0.657 0.325 0.333
0.992 0.325 0.667
0.265 0.265 0.000
0.351 0.500 0.851
0.649 0.500 0.149
0.735 0.735 0.000

=====

(4)
Sm3YEr12 | Alexandria via LeMat-Bulk | GGA-PBE | relaxed; spin magnetization = 0.000 μB/atom; D(E_F) = 21.3 states/eV/f.u.; V = 31.2 A^3/atom; SG = P4/mmm, No. 123; calculated total energy = -75.0 eV/f.u.
1.0
4.997 0.000 0.000
0.000 4.997 0.000
0.000 0.000 19.999
Sm Y Er
3 1 12
Direct
0.000 0.000 0.000
0.000 0.000 0.250
0.000 0.000 0.750
0.000 0.000 0.500
0.000 0.500 0.125
0.000 0.500 0.375
0.000 0.500 0.625
0.000 0.500 0.875
0.500 0.000 0.125
0.500 0.000 0.375
0.500 0.000 0.625
0.500 0.000 0.875
0.500 0.500 0.000
0.500 0.500 0.251
0.500 0.500 0.500
0.500 0.500 0.749

=====

(5)
SmY5Er7 | Alexandria via LeMat-Bulk | GGA-PBE | relaxed; spin magnetization = 0.001 μB/atom; D(E_F) = 25.5 states/eV/f.u.; V = 32.9 A^3/atom; SG = Imm2, No. 44; calculated total energy = -65.4 eV/f.u.
1.0
-3.363 5.514 5.760
3.363 -5.514 5.760
3.363 5.514 -5.760
Sm Y Er
1 5 7
Direct
0.000 0.000 0.000
0.024 0.031 0.457
0.024 0.567 0.993
0.302 0.802 0.500
0.574 0.031 0.007
0.574 0.567 0.543
0.220 0.550 0.670
0.301 0.301 0.000
0.380 0.051 0.329
0.605 0.605 0.000
0.722 0.051 0.671
0.799 0.299 0.500
0.879 0.550 0.330

=====

(6)
SmY12Er7 | Alexandria via LeMat-Bulk | GGA-PBE | relaxed; spin magnetization = 0.001 μB/atom; D(E_F) = 30.3 states/eV/f.u.; energy relative to the lowest polymorph listed for this composition = 0.050 eV per atom; V = 33.3 A^3/atom; SG = R-3, No. 148
1.0
9.268 5.351 2.236
-9.268 5.351 2.236
0.000 -10.702 2.236
Sm Y Er
1 12 7
Direct
0.000 0.000 0.000
0.075 0.497 0.287
0.201 0.268 0.745
0.255 0.799 0.732
0.268 0.745 0.201
0.287 0.075 0.497
0.497 0.287 0.075
0.503 0.713 0.925
0.713 0.925 0.503
0.732 0.255 0.799
0.745 0.201 0.268
0.799 0.732 0.255
0.925 0.503 0.713
0.073 0.210 0.375
0.210 0.375 0.073
0.375 0.073 0.210
0.500 0.500 0.500
0.625 0.927 0.790
0.790 0.625 0.927
0.927 0.790 0.625

=====

Copy entry 4 word for word.
Sm3YEr12 | Alexandria via LeMat-Bulk | GGA-PBE | relaxed; spin magnetization = 0.000 μB/atom; D(E_F) = 21.3 states/eV/f.u.; V = 31.2 A^3/atom; SG = P4/mmm, No. 123; calculated total energy = -75.0 eV/f.u.
1.0
4.997 0.000 0.000
0.000 4.997 0.000
0.000 0.000 19.999
Sm Y Er
3 1 12
Direct
0.000 0.000 0.000
0.000 0.000 0.250
0.000 0.000 0.750
0.000 0.000 0.500
0.000 0.500 0.125
0.000 0.500 0.375
0.000 0.500 0.625
0.000 0.500 0.875
0.500 0.000 0.125
0.500 0.000 0.375
0.500 0.000 0.625
0.500 0.000 0.875
0.500 0.500 0.000
0.500 0.500 0.251
0.500 0.500 0.500
0.500 0.500 0.749